Computed, not measured: crystalline DyHo3Hg6 at its relaxed geometry at the PBE-GGA level of DFT.

Lattice parameters (Å, degrees): 5.1366 9.1372 11.0727 106.62 90.00 90.00
With the nearest neighbours (Å) after each atom.
Fractional coordinates of all 20 atoms:
Ho 0.2500 0.5169 0.3876  8 Hg 3.00-3.35
Ho 0.7500 0.2302 0.0072  8 Hg 3.05-3.41
Hg 0.7500 0.7554 0.4884  4 Ho 3.05-3.35, 3 Dy 3.15-3.29, 1 Hg 3.30
Hg 0.2500 0.6495 0.7019  5 Ho 3.00-3.34, 1 Dy 3.08, 2 Hg 3.21
Hg 0.7500 0.5362 0.9088  7 Ho 3.10-3.30, 2 Hg 3.45
Hg 0.2500 0.1399 0.2004  8 Hg 3.18-3.50, 2 Ho 3.48-3.50, 2 Dy 3.51
Hg 0.2500 0.4638 0.0912  7 Ho 3.10-3.30, 2 Hg 3.45
Ho 0.2500 0.3530 0.7992  8 Hg 3.05-3.19
Ho 0.7500 0.6470 0.2008  8 Hg 3.05-3.19
Hg 0.2500 0.2446 0.5116  4 Ho 3.05-3.35, 3 Dy 3.15-3.29, 1 Hg 3.30
Dy 0.7500 0.0621 0.3896  8 Hg 3.07-3.29
Hg 0.7500 0.9366 0.1012  4 Ho 3.05-3.14, 1 Dy 3.07, 3 Hg 3.18-3.21
Hg 0.7500 0.8601 0.7996  8 Hg 3.18-3.50, 2 Ho 3.48-3.50, 2 Dy 3.51
Hg 0.7500 0.3505 0.2981  5 Ho 3.00-3.34, 1 Dy 3.08, 2 Hg 3.21
Hg 0.2500 0.0634 0.8988  4 Ho 3.05-3.14, 1 Dy 3.07, 3 Hg 3.18-3.21
Dy 0.2500 0.9379 0.6104  8 Hg 3.07-3.29
Ho 0.7500 0.4831 0.6124  8 Hg 3.00-3.35
Ho 0.2500 0.7698 0.9928  8 Hg 3.05-3.41
Hg 0.7500 0.1634 0.6884  4 Ho 3.14-3.41, 3 Dy 3.17-3.25, 3 Hg 3.34-3.44
Hg 0.2500 0.8366 0.3116  4 Ho 3.14-3.41, 3 Dy 3.17-3.25, 3 Hg 3.34-3.44

**Density of states at the Fermi level**: 12.72 states/eV/cell
**Calculated formation energy**: -0.4250 eV/atom
**VASP energy**: -2.4397 eV/atom

Computed, not measured: crystalline Dy2HoHg2 at its relaxed geometry at the PBE-GGA level of DFT.

Lattice parameters (Å, degrees): 3.8305 8.4494 8.4494 90.00 90.00 90.00
With the nearest neighbours (Å) after each atom.
Fractional coordinates of all 10 atoms:
Hg 0.0000 0.8670 0.6330  6 Dy 3.07-3.18, 1 Hg 3.18, 2 Ho 3.30
Dy 0.5000 0.3337 0.1663  6 Hg 3.07-3.18
Hg 0.0000 0.1330 0.3670  6 Dy 3.07-3.18, 1 Hg 3.18, 2 Ho 3.30
Ho 0.0000 0.5000 0.5000  4 Hg 3.30, 8 Dy 3.69
Dy 0.5000 0.6663 0.8337  6 Hg 3.07-3.18
Hg 0.0000 0.3670 0.8670  6 Dy 3.07-3.18, 1 Hg 3.18, 2 Ho 3.30
Dy 0.5000 0.8337 0.3337  6 Hg 3.07-3.18
Hg 0.0000 0.6330 0.1330  6 Dy 3.07-3.18, 1 Hg 3.18, 2 Ho 3.30
Ho 0.0000 0.0000 0.0000  4 Hg 3.30, 8 Dy 3.69
Dy 0.5000 0.1663 0.6663  6 Hg 3.07-3.18

**Density of states at the Fermi level**: 5.61 states/eV/cell
**Calculated formation energy**: -0.3839 eV/atom
**VASP energy**: -3.2610 eV/atom

Computed, not measured: crystalline DyHo2Hg4 at its relaxed geometry at the PBE-GGA level of DFT.

Lattice parameters (Å, degrees): 5.6060 5.6060 8.6090 109.00 109.00 90.00
With the nearest neighbours (Å) after each atom.
Fractional coordinates of all 7 atoms:
Hg 0.8005 0.8005 0.6009  1 Ho 3.04, 1 Dy 3.05
Hg 0.0000 0.5000 0.0000  2 Dy 2.80
Ho 0.6018 0.6018 0.2036  5 Hg 3.04-3.21, 1 Ho 3.11
Dy 0.0000 0.0000 0.0000  6 Hg 2.80-3.05
Ho 0.3982 0.3982 0.7964  5 Hg 3.04-3.21, 1 Ho 3.11
Hg 0.1995 0.1995 0.3991  1 Ho 3.04, 1 Dy 3.05
Hg 0.5000 0.0000 0.0000  2 Dy 2.80

**Density of states at the Fermi level**: 6.56 states/eV/cell
**Calculated formation energy**: 0.0497 eV/atom
**VASP energy**: -2.0881 eV/atom

Computed, not measured: crystalline Dy5HoHg6 at its relaxed geometry at the PBE-GGA level of DFT.

Lattice parameters (Å, degrees): 5.2469 7.4490 8.3141 90.00 71.88 90.00
With the nearest neighbours (Å) after each atom.
Fractional coordinates of all 12 atoms:
Ho 0.0000 0.0000 0.0000  8 Hg 3.21-3.22
Dy 0.6665 0.0000 0.6670  8 Hg 3.21-3.23
Hg 0.5000 0.2489 0.0000  2 Ho 3.21, 6 Dy 3.22-3.23
Hg 0.5000 0.7511 0.0000  2 Ho 3.21, 6 Dy 3.22-3.23
Hg 0.1664 0.7506 0.6672  7 Dy 3.21-3.23, 1 Ho 3.22
Hg 0.8336 0.2494 0.3328  7 Dy 3.21-3.23, 1 Ho 3.22
Hg 0.1664 0.2494 0.6672  7 Dy 3.21-3.23, 1 Ho 3.22
Dy 0.6669 0.5000 0.6663  8 Hg 3.22-3.23
Dy 0.3335 0.0000 0.3330  8 Hg 3.21-3.23
Dy 0.3331 0.5000 0.3337  8 Hg 3.22-3.23
Dy 0.0000 0.5000 0.0000  8 Hg 3.22
Hg 0.8336 0.7506 0.3328  7 Dy 3.21-3.23, 1 Ho 3.22

**Density of states at the Fermi level**: 11.37 states/eV/cell
**Calculated formation energy**: -0.4813 eV/atom
**VASP energy**: -2.9312 eV/atom

Computed, not measured: crystalline Dy2HoHg at its relaxed geometry at the PBE-GGA level of DFT.

Lattice parameters (Å, degrees): 3.5952 3.5952 10.7550 80.38 80.38 60.00
With the nearest neighbours (Å) after each atom.
Fractional coordinates of all 4 atoms:
Dy 0.7431 0.7431 0.7706  3 Hg 3.19, 3 Ho 3.53
Hg 0.0000 0.0000 0.0000  6 Dy 3.19
Ho 0.5000 0.5000 0.5000  6 Dy 3.53, 6 Ho 3.60
Dy 0.2569 0.2569 0.2294  3 Hg 3.19, 3 Ho 3.53

**Density of states at the Fermi level**: 3.67 states/eV/cell
**Calculated formation energy**: -0.1577 eV/atom
**VASP energy**: -3.6786 eV/atom

Computed, not measured: crystalline Dy4Ho5Hg at its relaxed geometry at the PBE-GGA level of DFT.

Lattice parameters (Å, degrees): 3.5447 3.5447 23.9501 90.00 90.00 90.00
With the nearest neighbours (Å) after each atom.
Fractional coordinates of all 10 atoms:
Ho 0.5000 0.5000 0.0845  4 Hg 3.22, 4 Dy 3.54, 4 Ho 3.54
Dy 0.0000 0.0000 0.3963  8 Ho 3.53, 4 Dy 3.54
Hg 0.0000 0.0000 0.0000  8 Ho 3.22, 4 Hg 3.54
Ho 0.5000 0.5000 0.9155  4 Hg 3.22, 4 Dy 3.54, 4 Ho 3.54
Dy 0.0000 0.0000 0.8114  8 Ho 3.53-3.54, 4 Dy 3.54
Ho 0.5000 0.5000 0.7076  8 Dy 3.53, 4 Ho 3.54
Ho 0.5000 0.5000 0.2924  8 Dy 3.53, 4 Ho 3.54
Dy 0.0000 0.0000 0.1886  8 Ho 3.53-3.54, 4 Dy 3.54
Dy 0.0000 0.0000 0.6037  8 Ho 3.53, 4 Dy 3.54
Ho 0.5000 0.5000 0.5000  8 Dy 3.53, 4 Ho 3.54

**Density of states at the Fermi level**: 13.30 states/eV/cell
**Calculated formation energy**: -0.0787 eV/atom
**VASP energy**: -4.2386 eV/atom

Computed, not measured: crystalline Dy5HoHg2 at its relaxed geometry at the PBE-GGA level of DFT.

Lattice parameters (Å, degrees): 3.6531 8.2239 8.2239 77.50 77.17 77.17
With the nearest neighbours (Å) after each atom.
Fractional coordinates of all 8 atoms:
Dy 0.0000 0.5000 0.5000  2 Hg 3.28, 10 Dy 3.39-3.65
Dy 0.3637 0.8608 0.4117  3 Hg 3.08-3.35, 5 Dy 3.35-3.39
Hg 0.2666 0.2334 0.2334  7 Dy 3.08-3.35, 2 Ho 3.40
Hg 0.7334 0.7666 0.7666  7 Dy 3.08-3.35, 2 Ho 3.40
Ho 0.0000 0.0000 0.0000  4 Hg 3.40, 2 Ho 3.65, 8 Dy 3.77
Dy 0.3637 0.4117 0.8608  3 Hg 3.08-3.35, 5 Dy 3.35-3.39
Dy 0.6363 0.1392 0.5883  3 Hg 3.08-3.35, 5 Dy 3.35-3.39
Dy 0.6363 0.5883 0.1392  3 Hg 3.08-3.35, 5 Dy 3.35-3.39

**Density of states at the Fermi level**: 7.61 states/eV/cell
**Calculated formation energy**: -0.1533 eV/atom
**VASP energy**: -3.6773 eV/atom

Computed, not measured: crystalline Dy2HoHg at its relaxed geometry at the PBE-GGA level of DFT.

Lattice parameters (Å, degrees): 4.8010 4.7921 4.7921 90.00 90.00 90.00
With the nearest neighbours (Å) after each atom.
Fractional coordinates of all 4 atoms:
Ho 0.5000 0.0000 0.0000  4 Hg 3.39, 8 Dy 3.39
Dy 0.0000 0.0000 0.5000  4 Dy 3.39, 4 Hg 3.39, 4 Ho 3.39
Dy 0.0000 0.5000 0.0000  4 Dy 3.39, 4 Ho 3.39, 4 Hg 3.39
Hg 0.5000 0.5000 0.5000  4 Ho 3.39, 8 Dy 3.39

**Density of states at the Fermi level**: 5.27 states/eV/cell
**Calculated formation energy**: -0.1544 eV/atom
**VASP energy**: -3.6753 eV/atom

Computed, not measured: crystalline Dy5Ho12Hg2 at its relaxed geometry at the PBE-GGA level of DFT.

Lattice parameters (Å, degrees): 9.3174 11.9846 7.9873 130.62 90.00 112.88
With the nearest neighbours (Å) after each atom.
Fractional coordinates of all 19 atoms:
Ho 0.5487 0.0975 0.7990  2 Hg 3.15, 4 Ho 3.28-3.41, 2 Dy 3.31-3.41
Dy 0.6888 0.3776 0.3835  8 Ho 3.31-3.56, 1 Dy 3.50, 2 Hg 3.53
Hg 0.2915 0.0000 0.0000  8 Ho 3.15-3.41
Ho 0.4513 0.9025 0.2010  2 Hg 3.15, 4 Ho 3.28-3.41, 2 Dy 3.31-3.41
Ho 0.4250 0.2450 0.5923  5 Ho 3.28-3.54, 1 Hg 3.41, 4 Dy 3.41-3.60
Ho 0.6568 0.6866 0.9263  1 Hg 3.22, 5 Ho 3.40-3.54, 4 Dy 3.50-3.60
Dy 0.0000 0.0000 0.5000  10 Ho 3.43-3.69, 2 Dy 3.80
Ho 0.8200 0.2450 0.5923  5 Ho 3.28-3.54, 1 Hg 3.41, 4 Dy 3.41-3.60
Ho 0.1800 0.7550 0.4077  5 Ho 3.28-3.54, 1 Hg 3.41, 4 Dy 3.41-3.60
Ho 0.9702 0.3134 0.0737  1 Hg 3.22, 5 Ho 3.40-3.54, 4 Dy 3.50-3.60
Dy 0.7600 0.5199 0.1066  10 Ho 3.41-3.60, 2 Dy 3.50-3.80
Ho 0.9078 0.8156 0.7095  2 Hg 3.20, 5 Ho 3.38-3.45, 3 Dy 3.41-3.52
Hg 0.7085 0.0000 0.0000  8 Ho 3.15-3.41
Ho 0.0922 0.1844 0.2905  2 Hg 3.20, 5 Ho 3.38-3.45, 3 Dy 3.41-3.52
Dy 0.2400 0.4801 0.8934  10 Ho 3.41-3.60, 2 Dy 3.50-3.80
Ho 0.3432 0.3134 0.0737  1 Hg 3.22, 5 Ho 3.40-3.54, 4 Dy 3.50-3.60
Ho 0.5750 0.7550 0.4077  5 Ho 3.28-3.54, 1 Hg 3.41, 4 Dy 3.41-3.60
Ho 0.0298 0.6866 0.9263  1 Hg 3.22, 5 Ho 3.40-3.54, 4 Dy 3.50-3.60
Dy 0.3112 0.6224 0.6165  8 Ho 3.31-3.56, 1 Dy 3.50, 2 Hg 3.53

**Density of states at the Fermi level**: 28.18 states/eV/cell
**Calculated formation energy**: 0.0113 eV/atom
**VASP energy**: -4.1227 eV/atom

Computed, not measured: crystalline DyHo5Hg4 at its relaxed geometry at the PBE-GGA level of DFT.

Lattice parameters (Å, degrees): 3.6606 3.6606 20.0317 90.00 90.00 90.00
With the nearest neighbours (Å) after each atom.
Fractional coordinates of all 10 atoms:
Ho 0.5000 0.5000 0.6879  8 Hg 3.19-3.23
Ho 0.5000 0.5000 0.3121  8 Hg 3.19-3.23
Hg 0.0000 0.0000 0.2154  8 Ho 3.19-3.23
Ho 0.5000 0.5000 0.5000  8 Hg 3.21
Hg 0.0000 0.0000 0.4053  8 Ho 3.19-3.21
Ho 0.5000 0.5000 0.1224  4 Hg 3.19, 4 Dy 3.57
Hg 0.0000 0.0000 0.5947  8 Ho 3.19-3.21
Ho 0.5000 0.5000 0.8776  4 Hg 3.19, 4 Dy 3.57
Hg 0.0000 0.0000 0.7846  8 Ho 3.19-3.23
Dy 0.0000 0.0000 0.0000  8 Ho 3.57, 4 Dy 3.66

**Density of states at the Fermi level**: 11.32 states/eV/cell
**Calculated formation energy**: -0.3698 eV/atom
**VASP energy**: -3.2397 eV/atom

Computed, not measured: crystalline Dy3Ho2Hg4 at its relaxed geometry at the PBE-GGA level of DFT.

Lattice parameters (Å, degrees): 6.9277 7.9508 9.6884 90.00 110.95 90.00
With the nearest neighbours (Å) after each atom.
Fractional coordinates of all 18 atoms:
Hg 0.8181 0.2500 0.1362  3 Dy 2.91-3.09, 2 Ho 3.23
Dy 0.0113 0.7500 0.5226  5 Hg 3.00-3.15
Hg 0.1647 0.9648 0.3293  5 Dy 2.99-3.15, 1 Ho 3.26, 2 Hg 3.35
Ho 0.9055 0.4130 0.8110  3 Hg 3.23-3.26
Dy 0.5000 0.5000 0.0000  6 Hg 2.91-2.99
Ho 0.5945 0.9130 0.1890  3 Hg 3.23-3.26
Dy 0.9887 0.2500 0.4774  5 Hg 3.00-3.15
Dy 0.4887 0.2500 0.4774  5 Hg 3.00-3.15
Dy 0.5113 0.7500 0.5226  5 Hg 3.00-3.15
Hg 0.1819 0.7500 0.8638  3 Dy 2.91-3.09, 2 Ho 3.23
Dy 0.0000 0.0000 0.0000  6 Hg 2.91-2.99
Hg 0.8353 0.0352 0.6707  5 Dy 2.99-3.15, 1 Ho 3.26, 2 Hg 3.35
Hg 0.6647 0.5352 0.3293  5 Dy 2.99-3.15, 1 Ho 3.26, 2 Hg 3.35
Ho 0.4055 0.0870 0.8110  3 Hg 3.23-3.26
Hg 0.3181 0.2500 0.1362  3 Dy 2.91-3.09, 2 Ho 3.23
Hg 0.3353 0.4648 0.6707  5 Dy 2.99-3.15, 1 Ho 3.26, 2 Hg 3.35
Hg 0.6819 0.7500 0.8638  3 Dy 2.91-3.09, 2 Ho 3.23
Ho 0.0945 0.5870 0.1890  3 Hg 3.23-3.26

**Density of states at the Fermi level**: 15.28 states/eV/cell
**Calculated formation energy**: -0.3126 eV/atom
**VASP energy**: -2.9980 eV/atom

Computed, not measured: crystalline DyHo7Hg2 at its relaxed geometry at the PBE-GGA level of DFT.

Lattice parameters (Å, degrees): 5.2274 8.8887 8.8887 118.88 90.00 90.00
With the nearest neighbours (Å) after each atom.
Fractional coordinates of all 10 atoms:
Hg 0.5000 0.6933 0.3067  5 Ho 2.85-3.08
Ho 0.0000 0.7671 0.2329  2 Hg 2.85
Ho 0.5000 0.5000 0.5000  2 Hg 2.96
Hg 0.5000 0.3067 0.6933  5 Ho 2.85-3.08
Ho 0.0000 0.2329 0.7671  2 Hg 2.85
Ho 0.5000 0.3027 0.0622  2 Hg 3.08-3.30, 2 Ho 3.30-3.41
Dy 0.0000 0.0000 0.0000  10 Ho 3.57-3.60
Ho 0.5000 0.0622 0.3027  2 Hg 3.08-3.30, 2 Ho 3.30-3.41
Ho 0.5000 0.6973 0.9378  2 Hg 3.08-3.30, 2 Ho 3.30-3.41
Ho 0.5000 0.9378 0.6973  2 Hg 3.08-3.30, 2 Ho 3.30-3.41

**Density of states at the Fermi level**: 21.10 states/eV/cell
**Calculated formation energy**: 0.2894 eV/atom
**VASP energy**: -3.4356 eV/atom

- The highest density of states at the Fermi level belongs to which entry?
  Dy5Ho12Hg2